Entry 1:
# KTi4Cl11 | Alexandria via LeMat-Bulk | SCAN | PBEsol geometry
data_KTi4Cl11
_chemical_formula_sum 'K4 Ti16 Cl44'
_cell_length_a 12.7289
_cell_length_b 6.6976
_cell_length_c 16.4865
_cell_angle_alpha 90.00
_cell_angle_beta 90.00
_cell_angle_gamma 90.00
_symmetry_space_group_name_H-M 'P n m a'
_symmetry_Int_Tables_number 62
loop_
_symmetry_equiv_pos_as_xyz
'x,y,z'
'-x,-y,-z'
'-x+1/2,-y,z+1/2'
'x+1/2,y,-z+1/2'
'x+1/2,-y+1/2,-z+1/2'
'-x+1/2,y+1/2,z+1/2'
'-x,y+1/2,-z'
'x,-y+1/2,z'
loop_
_atom_site_label
_atom_site_fract_x
_atom_site_fract_y
_atom_site_fract_z
K1 0.0167 0.2500 0.2436
Ti1 0.1834 0.7500 0.1528
Ti2 0.1846 0.7500 0.3493
Ti3 0.2464 0.5308 0.4940
Cl1 0.0350 0.7500 0.2483
Cl2 0.0905 0.0000 0.4156
Cl3 0.0966 0.0057 0.0800
Cl4 0.1492 0.2500 0.9118
Cl5 0.1608 0.2500 0.5735
Cl6 0.1633 0.7500 0.5859
Cl7 0.1760 0.7500 0.9185
Cl8 0.2456 0.0087 0.7489
# energy relative to the elements, uncorrected = -1.847 eV/atom
# DOS(E_F) = 8.03 states/eV/cell
# DFT total energy = -189.75 eV/f.u.

=====

Entry 2:
# K3TiCl6 | Alexandria via LeMat-Bulk | SCAN | PBEsol geometry
data_K3TiCl6
_chemical_formula_sum 'K12 Ti4 Cl24'
_cell_length_a 12.5303
_cell_length_b 7.4991
_cell_length_c 11.8863
_cell_angle_alpha 90.00
_cell_angle_beta 107.87
_cell_angle_gamma 90.00
_symmetry_space_group_name_H-M 'P 1 21/c 1'
_symmetry_Int_Tables_number 14
loop_
_symmetry_equiv_pos_as_xyz
'x,y,z'
'-x,-y,-z'
'-x,y+1/2,-z+1/2'
'x,-y+1/2,z+1/2'
loop_
_atom_site_label
_atom_site_fract_x
_atom_site_fract_y
_atom_site_fract_z
K1 0.0907 0.0624 0.3521
K2 0.3174 0.5704 0.2669
K3 0.3187 0.0731 0.1171
Ti1 0.0000 0.0000 0.0000
Ti2 0.5000 0.0000 0.5000
Cl1 0.0924 0.2286 0.5992
Cl2 0.1217 0.5019 0.3807
Cl3 0.1287 0.6788 0.6495
Cl4 0.3525 0.2042 0.3961
Cl5 0.3565 0.7041 0.0097
Cl6 0.4998 0.1314 0.6865
# energy relative to the elements, uncorrected = -2.088 eV/atom
# DFT total energy = -109.77 eV/f.u.

=====

Entry 3:
# KTlCl3 | Alexandria via LeMat-Bulk | SCAN | PBEsol geometry
data_KTlCl3
_chemical_formula_sum 'K8 Tl8 Cl24'
_cell_length_a 10.9322
_cell_length_b 10.9322
_cell_length_c 10.9322
_cell_angle_alpha 90.00
_cell_angle_beta 90.00
_cell_angle_gamma 90.00
_symmetry_space_group_name_H-M 'F m -3 m'
_symmetry_Int_Tables_number 225
_symmetry_space_group_name_Hall '-F 4 2 3'
loop_
_atom_site_label
_atom_site_fract_x
_atom_site_fract_y
_atom_site_fract_z
K1 0.2500 0.2500 0.2500
Tl1 0.0000 0.0000 0.0000
Tl2 0.0000 0.0000 0.5000
Cl1 0.0000 0.0000 0.2371
# energy relative to the elements, uncorrected = -1.339 eV/atom
# DFT total energy = -111.31 eV/f.u.

=====

Entry 4:
# K3TlCl6 | Alexandria via LeMat-Bulk | SCAN | PBEsol geometry
data_K3TlCl6
_chemical_formula_sum 'K12 Tl4 Cl24'
_cell_length_a 10.8993
_cell_length_b 10.8993
_cell_length_c 10.8993
_cell_angle_alpha 90.00
_cell_angle_beta 90.00
_cell_angle_gamma 90.00
_symmetry_space_group_name_H-M 'F m -3 m'
_symmetry_Int_Tables_number 225
_symmetry_space_group_name_Hall '-F 4 2 3'
loop_
_atom_site_label
_atom_site_fract_x
_atom_site_fract_y
_atom_site_fract_z
K1 0.0000 0.0000 0.0000
K2 0.2500 0.2500 0.2500
Tl1 0.0000 0.0000 0.5000
Cl1 0.0000 0.0000 0.2646
# energy relative to the elements, uncorrected = -1.561 eV/atom
# DOS(E_F) = 0.00 states/eV/cell
# DFT total energy = -160.82 eV/f.u.

=====

Entry 5:
# KTlCl | Alexandria via LeMat-Bulk | SCAN | PBEsol geometry
data_KTlCl
_chemical_formula_sum 'K1 Tl1 Cl1'
_cell_length_a 5.3422
_cell_length_b 5.3422
_cell_length_c 3.6938
_cell_angle_alpha 90.00
_cell_angle_beta 90.00
_cell_angle_gamma 120.00
_symmetry_space_group_name_H-M 'P 3 m 1'
_symmetry_Int_Tables_number 156
loop_
_symmetry_equiv_pos_as_xyz
'x,y,z'
'-y,x-y,z'
'-x+y,-x,z'
'-y,-x,z'
'-x+y,y,z'
'x,x-y,z'
loop_
_atom_site_label
_atom_site_fract_x
_atom_site_fract_y
_atom_site_fract_z
K1 0.0000 0.0000 0.0000
Tl1 0.3333 0.6667 0.5004
Cl1 0.6667 0.3333 0.5036
# energy relative to the elements, uncorrected = -0.871 eV/atom
# DOS(E_F) = 1.93 states/eV/cell
# DFT total energy = -91.28 eV/f.u.

=====

Entry 6:
# KTlCl | Alexandria via LeMat-Bulk | SCAN | PBEsol geometry
data_KTlCl
_chemical_formula_sum 'K1 Tl1 Cl1'
_cell_length_a 3.9642
_cell_length_b 3.9642
_cell_length_c 7.0476
_cell_angle_alpha 90.00
_cell_angle_beta 90.00
_cell_angle_gamma 120.00
_symmetry_space_group_name_H-M 'P 3 m 1'
_symmetry_Int_Tables_number 156
loop_
_symmetry_equiv_pos_as_xyz
'x,y,z'
'-y,x-y,z'
'-x+y,-x,z'
'-y,-x,z'
'-x+y,y,z'
'x,x-y,z'
loop_
_atom_site_label
_atom_site_fract_x
_atom_site_fract_y
_atom_site_fract_z
K1 0.0000 0.0000 0.0000
Tl1 0.3333 0.6667 0.5869
Cl1 0.6667 0.3333 0.2552
# energy relative to the elements, uncorrected = -0.935 eV/atom
# DOS(E_F) = 1.39 states/eV/cell
# DFT total energy = -91.47 eV/f.u.

=====

Entry 7:
# K2VCl6 | Alexandria via LeMat-Bulk | SCAN | PBEsol geometry
data_K2VCl6
_chemical_formula_sum 'K8 V4 Cl24'
_cell_length_a 9.6117
_cell_length_b 9.6117
_cell_length_c 9.6117
_cell_angle_alpha 90.00
_cell_angle_beta 90.00
_cell_angle_gamma 90.00
_symmetry_space_group_name_H-M 'F m -3 m'
_symmetry_Int_Tables_number 225
_symmetry_space_group_name_Hall '-F 4 2 3'
loop_
_atom_site_label
_atom_site_fract_x
_atom_site_fract_y
_atom_site_fract_z
K1 0.2500 0.2500 0.2500
V1 0.0000 0.0000 0.0000
Cl1 0.0000 0.0000 0.2387
# energy relative to the elements, uncorrected = -1.736 eV/atom
# DOS(E_F) = 25.99 states/eV/cell
# DFT total energy = -97.64 eV/f.u.

=====

Entry 8:
# KW3Cl9 | Alexandria via LeMat-Bulk | SCAN | PBEsol geometry
data_KW3Cl9
_chemical_formula_sum 'K2 W6 Cl18'
_cell_length_a 9.3070
_cell_length_b 9.3070
_cell_length_c 8.2691
_cell_angle_alpha 90.00
_cell_angle_beta 90.00
_cell_angle_gamma 120.00
_symmetry_space_group_name_H-M 'P -3 1 m'
_symmetry_Int_Tables_number 162
_symmetry_space_group_name_Hall '-P 3 2'
loop_
_atom_site_label
_atom_site_fract_x
_atom_site_fract_y
_atom_site_fract_z
K1 0.3333 0.6667 0.0000
W1 0.0000 0.1828 0.3739
Cl1 0.0000 0.2023 0.8205
Cl2 0.0000 0.3955 0.1931
Cl3 0.2128 0.4256 0.5000
# energy relative to the elements, uncorrected = -1.042 eV/atom
# DOS(E_F) = 8.48 states/eV/cell
# DFT total energy = -302.74 eV/f.u.

=====

Entry 9:
# K3WCl | Alexandria via LeMat-Bulk | SCAN | PBEsol geometry
data_K3WCl
_chemical_formula_sum 'K3 W1 Cl1'
_cell_length_a 5.8943
_cell_length_b 5.8943
_cell_length_c 5.8943
_cell_angle_alpha 90.00
_cell_angle_beta 90.00
_cell_angle_gamma 90.00
_symmetry_space_group_name_H-M 'P m -3 m'
_symmetry_Int_Tables_number 221
_symmetry_space_group_name_Hall '-P 4 2 3'
loop_
_atom_site_label
_atom_site_fract_x
_atom_site_fract_y
_atom_site_fract_z
K1 0.0000 0.0000 0.5000
W1 0.5000 0.5000 0.5000
Cl1 0.0000 0.0000 0.0000
# energy relative to the elements, uncorrected = 0.434 eV/atom
# DOS(E_F) = 1.59 states/eV/cell
# DFT total energy = -100.48 eV/f.u.

=====

Entry 10:
# KW4Cl | Alexandria via LeMat-Bulk | SCAN | PBEsol geometry
data_KW4Cl
_chemical_formula_sum 'K4 W16 Cl4'
_cell_length_a 7.7431
_cell_length_b 7.7431
_cell_length_c 7.7431
_cell_angle_alpha 90.00
_cell_angle_beta 90.00
_cell_angle_gamma 90.00
_symmetry_space_group_name_H-M 'F -4 3 m'
_symmetry_Int_Tables_number 216
_symmetry_space_group_name_Hall 'F -4 2 3'
loop_
_atom_site_label
_atom_site_fract_x
_atom_site_fract_y
_atom_site_fract_z
K1 0.0000 0.0000 0.0000
W1 0.1199 0.1199 0.6199
Cl1 0.2500 0.2500 0.2500
# energy relative to the elements, uncorrected = 1.681 eV/atom
# DOS(E_F) = 18.77 states/eV/cell
# DFT total energy = -284.97 eV/f.u.

=====

Entry 11:
# K2WCl | Alexandria via LeMat-Bulk | SCAN | PBEsol geometry
data_K2WCl
_chemical_formula_sum 'K8 W4 Cl4'
_cell_length_a 8.0985
_cell_length_b 8.0985
_cell_length_c 8.0985
_cell_angle_alpha 90.00
_cell_angle_beta 90.00
_cell_angle_gamma 90.00
_symmetry_space_group_name_H-M 'F m -3 m'
_symmetry_Int_Tables_number 225
_symmetry_space_group_name_Hall '-F 4 2 3'
loop_
_atom_site_label
_atom_site_fract_x
_atom_site_fract_y
_atom_site_fract_z
K1 0.2500 0.2500 0.2500
W1 0.0000 0.0000 0.0000
Cl1 0.0000 0.0000 0.5000
# energy relative to the elements, uncorrected = 0.790 eV/atom
# DFT total energy = -91.16 eV/f.u.

=====

Entry 12:
# K2WCl6 | Alexandria via LeMat-Bulk | SCAN | PBEsol geometry
data_K2WCl6
_chemical_formula_sum 'K8 W4 Cl24'
_cell_length_a 9.7295
_cell_length_b 9.7295
_cell_length_c 9.7295
_cell_angle_alpha 90.00
_cell_angle_beta 90.00
_cell_angle_gamma 90.00
_symmetry_space_group_name_H-M 'F m -3 m'
_symmetry_Int_Tables_number 225
_symmetry_space_group_name_Hall '-F 4 2 3'
loop_
_atom_site_label
_atom_site_fract_x
_atom_site_fract_y
_atom_site_fract_z
K1 0.2500 0.2500 0.2500
W1 0.0000 0.0000 0.0000
Cl1 0.0000 0.0000 0.2431
# energy relative to the elements, uncorrected = -1.512 eV/atom
# DOS(E_F) = 23.44 states/eV/cell
# DFT total energy = -147.82 eV/f.u.